The following is a PBE calculation of Ac2SmPbO6 after structural relaxation, from Alexandria.

a b c (Å): 6.2784 6.2784 15.7946
angles (deg): 90.00 90.00 120.00
Space group R3 (No. 146, hexagonal axes)
Unique sites:
Ac  0.0000  0.0000  0.0000 [3 per cell]
Ac  0.0000  0.0000  0.4982 [3 per cell]
Sm  0.0000  0.0000  0.7744 [3 per cell]
Pb  0.0000  0.0000  0.2745 [3 per cell]
O  0.0238  0.2909  0.8790 [9 per cell]
O  0.0274  0.6317  0.0476 [9 per cell]



The following is a PBE calculation of Ac2Sm4Pb3O2 after structural relaxation, from Alexandria.

a b c (Å): 4.874 4.874 26.775
angles (deg): 90.00 90.00 90.00
Space group I4/mmm (No. 139)
Unique sites:
Ac  0.000  0.000  0.193 [4 per cell]
Sm  0.000  0.500  0.080 [8 per cell]
Pb  0.000  0.000  0.328 [4 per cell]
Pb  0.000  0.000  0.500 [2 per cell]
O  0.000  0.000  0.095 [4 per cell]



The following is a PBE calculation of AcSnPbO after structural relaxation, from Alexandria.

a b c (Å): 3.556 3.556 17.531
angles (deg): 90.00 90.00 90.00
Space group I4mm (No. 107)
Unique sites:
Ac  0.000  0.000  0.000 [2 per cell]
Sn  0.000  0.000  0.669 [2 per cell]
Pb  0.000  0.000  0.297 [2 per cell]
O  0.000  0.000  0.481 [2 per cell]



The following is a PBE calculation of Ac2SnPb2O2 after structural relaxation, from Alexandria.

a b c (Å): 4.0027 4.0027 15.1644
angles (deg): 90.00 90.00 120.00
Space group P-3m1 (No. 164)
Unique sites:
Ac  0.3333  0.6667  0.1108 [2 per cell]
Sn  0.0000  0.0000  0.5000 [1 per cell]
Pb  0.0000  0.0000  0.3002 [2 per cell]
O  0.3333  0.6667  0.9385 [2 per cell]



The following is a PBE calculation of Sr2AcPbO4 after structural relaxation, from Alexandria.

a b c (Å): 6.457 3.783 6.465
angles (deg): 90.00 104.02 90.00
Space group P2/m (No. 10)
Unique sites:
Sr  0.000  0.000  0.000 [1 per cell]
Sr  0.500  0.500  0.000 [1 per cell]
Ac  0.000  0.500  0.500 [1 per cell]
Pb  0.500  0.000  0.500 [1 per cell]
O  0.203  0.500  0.210 [2 per cell]
O  0.228  0.000  0.736 [2 per cell]



The following is a PBE calculation of SrAc2PbO5 after structural relaxation, from Alexandria.

a b c (Å): 7.184 7.184 6.651
angles (deg): 90.00 90.00 90.00
Space group P4/mbm (No. 127)
Unique sites:
Sr  0.000  0.000  0.000 [2 per cell]
Ac  0.172  0.328  0.500 [4 per cell]
Pb  0.000  0.500  0.000 [2 per cell]
O  0.000  0.000  0.500 [2 per cell]
O  0.162  0.662  0.252 [8 per cell]



The following is a PBE calculation of SrAcPb2O8 after structural relaxation, from Alexandria.

a b c (Å): 5.971 5.971 10.769
angles (deg): 90.00 90.00 90.00
Space group I-4 (No. 82)
Unique sites:
Sr  0.000  0.000  0.000 [2 per cell]
Ac  0.000  0.500  0.750 [2 per cell]
Pb  0.000  0.000  0.500 [2 per cell]
Pb  0.000  0.500  0.250 [2 per cell]
O  0.203  0.238  0.596 [8 per cell]
O  0.205  0.738  0.155 [8 per cell]



The following is a PBE calculation of Sr2AcPbO6 after structural relaxation, from Alexandria.

a b c (Å): 6.152 6.329 10.593
angles (deg): 90.00 124.27 90.00
Space group P2_1/c (No. 14)
Unique sites:
Sr  0.229  0.050  0.249 [4 per cell]
Ac  0.500  0.000  0.000 [2 per cell]
Pb  0.000  0.000  0.500 [2 per cell]
O  0.119  0.218  0.931 [4 per cell]
O  0.220  0.694  0.937 [4 per cell]
O  0.362  0.062  0.736 [4 per cell]



The following is a PBE calculation of SrAcPbO after structural relaxation, from Alexandria.

a b c (Å): 3.941 4.037 15.069
angles (deg): 90.00 90.00 90.00
Space group Imm2 (No. 44)
Unique sites:
Sr  0.000  0.000  0.000 [2 per cell]
Ac  0.000  0.000  0.695 [2 per cell]
Pb  0.000  0.000  0.353 [2 per cell]
O  0.000  0.500  0.606 [2 per cell]



The following is a PBE calculation of SrAc2PbO6 after structural relaxation, from Alexandria.

a b c (Å): 6.2485 6.2485 15.7798
angles (deg): 90.00 90.00 120.00
Space group R3 (No. 146, hexagonal axes)
Unique sites:
Sr  0.0000  0.0000  0.0000 [3 per cell]
Ac  0.0000  0.0000  0.2720 [3 per cell]
Ac  0.0000  0.0000  0.7720 [3 per cell]
Pb  0.0000  0.0000  0.4912 [3 per cell]
O  0.0553  0.3386  0.5566 [9 per cell]
O  0.0696  0.6837  0.0624 [9 per cell]



The following is a PBE calculation of SrAc4Pb3O12 after structural relaxation, from Alexandria.

a b c (Å): 9.161 9.161 9.161
angles (deg): 90.00 90.00 90.00
Space group Im-3 (No. 204)
Unique sites:
Sr  0.000  0.000  0.000 [2 per cell]
Ac  0.250  0.250  0.250 [8 per cell]
Pb  0.000  0.000  0.500 [6 per cell]
O  0.000  0.162  0.314 [24 per cell]



The following is a PBE calculation of AcTaPb2O6 after structural relaxation, from Alexandria.

a b c (Å): 5.802 6.475 10.386
angles (deg): 90.00 123.08 90.00
Space group P2_1/c (No. 14)
Unique sites:
Ac  0.000  0.000  0.000 [2 per cell]
Ta  0.500  0.000  0.500 [2 per cell]
Pb  0.220  0.042  0.725 [4 per cell]
O  0.175  0.161  0.473 [4 per cell]
O  0.265  0.744  0.436 [4 per cell]
O  0.375  0.053  0.278 [4 per cell]



Record order is preserved below.
Volume: 18.0; 28.9; 27.7; 30.1; 19.2; 19.1; 16.0; 17.0; 30.0; 17.8; 19.2; 16.3 Å³/atom
Record order is preserved below.
Energy relative to the elements, uncorrected: -2701; -1395; -1238; -1472; -2276; -2351; -1390; -2174; -1609; -2505; -2118; -2289 meV/atom